Entry 1:
Computed, not measured: Sr2ScP after structural relaxation at the PBEsol level of DFT.

Values from the calculation:
- total moment (Bohr magnetons per cell) = 6.18
- calculated density (g/cm³) = 2.9
- energy of formation from the pure elements (eV/atom) = -0.17

Cell and atoms, written as CIF:
```
data_Sr2ScP
_cell_length_a 4.1508
_cell_length_b 4.1508
_cell_length_c 28.9472
_cell_angle_alpha 90.00
_cell_angle_beta 90.00
_cell_angle_gamma 120.00
_symmetry_space_group_name_H-M 'R -3 m'
_symmetry_Int_Tables_number 166
_symmetry_space_group_name_Hall '-R 3 2"'
loop_
_atom_site_label
_atom_site_type_symbol
_atom_site_fract_x
_atom_site_fract_y
_atom_site_fract_z
Sr1 Sr 0.0000 0.0000 0.2235
Sc1 Sc 0.0000 0.0000 0.0000
P1 P 0.0000 0.0000 0.5000
```

=====

Entry 2:
Computed, not measured: AgAsH3 after structural relaxation at the PBEsol level of DFT.

Values from the calculation:
- total moment (Bohr magnetons per cell) = 0.00
- calculated density (g/cm³) = 6.2
- E (eV per atom) = -2.864

Cell and atoms, written as CIF:
```
data_AgAsH3
_cell_length_a 3.680
_cell_length_b 3.680
_cell_length_c 3.680
_cell_angle_alpha 90.00
_cell_angle_beta 90.00
_cell_angle_gamma 90.00
_symmetry_space_group_name_H-M 'P m -3 m'
_symmetry_Int_Tables_number 221
_symmetry_space_group_name_Hall '-P 4 2 3'
loop_
_atom_site_label
_atom_site_type_symbol
_atom_site_fract_x
_atom_site_fract_y
_atom_site_fract_z
Ag1 Ag 0.000 0.000 0.000
As1 As 0.500 0.500 0.500
H1 H 0.000 0.000 0.500
```

=====

Entry 3:
Computed, not measured: Y2TaSb after structural relaxation at the PBEsol level of DFT.

Values from the calculation:
- total moment (Bohr magnetons per cell) = 0.00
- calculated density (g/cm³) = 8.5
- formation energy from raw total energies (eV/atom) = -0.1130

Cell and atoms, written as CIF:
```
data_Y2TaSb
_cell_length_a 4.407
_cell_length_b 4.407
_cell_length_c 9.669
_cell_angle_alpha 90.00
_cell_angle_beta 90.00
_cell_angle_gamma 90.00
_symmetry_space_group_name_H-M 'I -4 m 2'
_symmetry_Int_Tables_number 119
_symmetry_space_group_name_Hall 'I -4 -2'
loop_
_atom_site_label
_atom_site_type_symbol
_atom_site_fract_x
_atom_site_fract_y
_atom_site_fract_z
Y1 Y 0.000 0.000 0.000
Y2 Y 0.000 0.500 0.250
Ta1 Ta 0.000 0.500 0.750
Sb1 Sb 0.000 0.000 0.500
```